A plane-wave DFT calculation with GGA-PBE was carried out for an optimized crystal structure of Nd3SiI3.

Cell: 9.148 4.343 12.564 Å, 90.00 90.85 90.00°
Fractional positions:
Nd  0.100  0.250  0.385
Nd  0.118  0.250  0.842
Nd  0.323  0.750  0.621
Nd  0.677  0.250  0.379
Nd  0.882  0.750  0.158
Nd  0.900  0.750  0.615
Si  0.117  0.250  0.618
Si  0.883  0.750  0.382
I  0.137  0.250  0.120
I  0.371  0.750  0.875
I  0.384  0.750  0.366
I  0.616  0.250  0.634
I  0.629  0.250  0.125
I  0.863  0.750  0.880

Calculated values
- formation energy from raw total energies (eV per atom) = -1.17
- magnetization (μB/cell) = 0.000
- E above lowest polymorph (meV per atom) = 0